(1)
A relaxed structure of PC5, computed with PBE.

The space group is Amm2 (No. 38) and the conventional cell measures 2.5733, 8.3443 and 9.2683 Å, with angles of 90.00, 90.00 and 90.00 degrees. The distinct sites, in fractional coordinates, are P at (0.0000, 0.0000, 0.0000), C at (0.0000, 0.0000, 0.4926), C at (0.0000, 0.0000, 0.6514), C at (0.5000, 0.0000, 0.4284), C at (0.5000, 0.0000, 0.7251) and C at (0.5000, 0.0000, 0.8798).

The crystal system is orthorhombic. The calculation puts the formation energy from the elements at 0.762 eV per atom. The magnetic moment is 2.42 μB/cell. The energy above the most stable polymorph in this dataset comes out at 0.000 eV per atom.


(2)
A relaxed structure of ScGa2Re2, computed with PBE.

The space group is P4/mbm (No. 127) and the conventional cell measures 7.6317, 7.6317 and 2.8525 Å, with angles of 90.00, 90.00 and 90.00 degrees. The distinct sites, in fractional coordinates, are Sc at (0.0000, 0.0000, 0.0000), Ga at (0.1781, 0.3219, 0.5000) and Re at (0.1165, 0.6165, 0.0000).

The crystal system is tetragonal. The calculation puts the formation energy from the elements at 0.077 eV per atom. The magnetic moment is 0.00 μB/cell. The energy above the most stable polymorph in this dataset comes out at 0.113 eV per atom.


(3)
A relaxed structure of Li3Ho2CuNi12, computed with PBE.

The space group is R-3m (No. 166, hexagonal axes) and the conventional cell measures 5.0761, 5.0761 and 33.5961 Å, with angles of 90.00, 90.00 and 120.00 degrees. The distinct sites, in fractional coordinates, are Li at (0.0000, 0.5000, 0.0000), Ho at (0.0000, 0.0000, 0.1416), Cu at (0.0000, 0.0000, 0.5000), Ni at (0.0055, 0.5028, 0.1096) and Ni at (0.0205, 0.5102, 0.6105).

The crystal system is trigonal. The calculation puts the formation energy from the elements at 0.082 eV per atom. The magnetic moment is 11.81 μB/cell.


(4)
A relaxed structure of Si4P, computed with PBE.

The space group is Im-3m (No. 229) and the conventional cell measures 5.5158, 5.5158 and 5.5158 Å, with angles of 90.00, 90.00 and 90.00 degrees. The distinct sites, in fractional coordinates, are Si at (0.2500, 0.2500, 0.2500) and P at (0.0000, 0.0000, 0.0000).

The crystal system is cubic. The uncorrected formation energy comes out at 335 kJ/mol of formula units. The magnetic moment is 0.00 μB/cell. The energy above the most stable polymorph in this dataset comes out at 0.133 eV per atom.


(5)
A relaxed structure of Nd2Tl2Hg, computed with PBE.

The space group is C2/m (No. 12) and the conventional cell measures 11.7134, 4.8818 and 11.3748 Å, with angles of 90.00, 115.79 and 90.00 degrees. The distinct sites, in fractional coordinates, are Nd at (0.0196, 0.0000, 0.3296), Nd at (0.1778, 0.0000, 0.0960), Tl at (0.0387, 0.5000, 0.8856), Tl at (0.1454, 0.5000, 0.5479) and Hg at (0.2312, 0.5000, 0.3084).

The crystal system is monoclinic. The calculation puts the formation energy from the elements at -0.345 eV per atom. The magnetic moment is 0.00 μB/cell. The energy above the most stable polymorph in this dataset comes out at 0.000 eV per atom.


(6)
A relaxed structure of AcErAs2, computed with PBE.

The space group is R-3m (No. 166, hexagonal axes) and the conventional cell measures 4.2692, 4.2692 and 26.4593 Å, with angles of 90.00, 90.00 and 120.00 degrees. The distinct sites, in fractional coordinates, are Ac at (0.0000, 0.0000, 0.0000), Er at (0.0000, 0.0000, 0.5000) and As at (0.0000, 0.0000, 0.1119).

The crystal system is trigonal. The calculation puts the formation energy from the elements at -0.509 eV per atom. The magnetic moment is 1.06 μB/cell. The energy above the most stable polymorph in this dataset comes out at 0.949 eV per atom.


(7)
A relaxed structure of AcDyGe, computed with PBE.

The space group is P3m1 (No. 156) and the conventional cell measures 4.8937, 4.8937 and 4.6030 Å, with angles of 90.00, 90.00 and 120.00 degrees. The distinct sites, in fractional coordinates, are Ac at (0.0000, 0.0000, 0.0000), Dy at (0.6667, 0.3333, 0.5004) and Ge at (0.3333, 0.6667, 0.4968).

The crystal system is trigonal. The calculation puts the formation energy from the elements at -0.430 eV per atom. The magnetic moment is 0.00 μB/cell. The energy above the most stable polymorph in this dataset comes out at 0.000 eV per atom.


(8)
A relaxed structure of Cs12K5Rb, computed with PBE.

The space group is Immm (No. 71) and the conventional cell measures 14.5970, 15.6338 and 16.4795 Å, with angles of 90.00, 90.00 and 90.00 degrees. The distinct sites, in fractional coordinates, are Cs at (0.0000, 0.2236, 0.1805), Cs at (0.1901, 0.2212, 0.5000), Cs at (0.1955, 0.5000, 0.2520), K at (0.0000, 0.0000, 0.3670), K at (0.0000, 0.5000, 0.5000), K at (0.1486, 0.0000, 0.0000) and Rb at (0.0000, 0.5000, 0.0000).

The crystal system is orthorhombic. The calculation puts the formation energy from the elements at 0.016 eV per atom. The magnetic moment is 0.00 μB/cell.


(9)
A relaxed structure of PaGaBr2, computed with PBE.

The space group is R-3m (No. 166, hexagonal axes) and the conventional cell measures 3.5858, 3.5858 and 31.0407 Å, with angles of 90.00, 90.00 and 120.00 degrees. The distinct sites, in fractional coordinates, are Pa at (0.0000, 0.0000, 0.0000), Ga at (0.0000, 0.0000, 0.5000) and Br at (0.0000, 0.0000, 0.0886).

The crystal system is trigonal. The uncorrected formation energy comes out at -102 kJ/mol of formula units. The magnetic moment is 1.72 μB/cell.


(10)
A relaxed structure of WCl5, computed with PBE.

The space group is Cmmm (No. 65) and the conventional cell measures 3.6475, 12.5944 and 6.5703 Å, with angles of 90.00, 90.00 and 90.00 degrees. The distinct sites, in fractional coordinates, are W at (0.0000, 0.0000, 0.0000), Cl at (0.0000, 0.1681, 0.5000), Cl at (0.0000, 0.3746, 0.0000) and Cl at (0.0000, 0.5000, 0.5000).

The crystal system is orthorhombic. The uncorrected formation energy comes out at 146 kJ/mol of formula units. The magnetic moment is 6.80 μB/cell. The energy above the most stable polymorph in this dataset comes out at 1.078 eV per atom.


(11)
A relaxed structure of Ag2SF, computed with PBE.

The space group is Fm-3m (No. 225) and the conventional cell measures 6.2812, 6.2812 and 6.2812 Å, with angles of 90.00, 90.00 and 90.00 degrees. The distinct sites, in fractional coordinates, are Ag at (0.2500, 0.2500, 0.2500), S at (0.0000, 0.0000, 0.0000) and F at (0.0000, 0.0000, 0.5000).

The crystal system is cubic. The uncorrected formation energy comes out at -127 kJ/mol of formula units. The magnetic moment is 0.00 μB/cell. The energy above the most stable polymorph in this dataset comes out at 0.176 eV per atom.